# 1
Here is a relaxed structure of Ga2MoPt from Alexandria via LeMat-Bulk. Energies are from PBE-GGA.

Properties
- Calculated formation energy: -1.24 eV/f.u.
- ΔE to the lowest computed polymorph: 0.0 meV per atom

```
data_Ga2MoPt
_space_group_name_H-M_alt 'P 1'
_space_group_IT_number 1
_cell_length_a 4.244
_cell_length_b 4.244
_cell_length_c 3.365
_cell_angle_alpha 90.00
_cell_angle_beta 90.00
_cell_angle_gamma 90.00
loop_
_space_group_symop_operation_xyz
'x,y,z'
loop_
_atom_site_label
_atom_site_type_symbol
_atom_site_fract_x
_atom_site_fract_y
_atom_site_fract_z
Ga1 Ga 0.000 0.500 0.000
Ga2 Ga 0.500 0.000 0.000
Mo1 Mo 0.000 0.000 0.500
Pt1 Pt 0.500 0.500 0.500
```

=====

# 2
Here is a relaxed structure of Ga3MoPt from Alexandria via LeMat-Bulk. Energies are from PBE-GGA.

Properties
- Calculated formation energy: 2.98 eV/f.u.
- ΔE to the lowest computed polymorph: 0.0 meV per atom

```
data_Ga3MoPt
_space_group_name_H-M_alt 'P 1'
_space_group_IT_number 1
_cell_length_a 4.794
_cell_length_b 4.794
_cell_length_c 4.794
_cell_angle_alpha 90.00
_cell_angle_beta 90.00
_cell_angle_gamma 90.00
loop_
_space_group_symop_operation_xyz
'x,y,z'
loop_
_atom_site_label
_atom_site_type_symbol
_atom_site_fract_x
_atom_site_fract_y
_atom_site_fract_z
Ga1 Ga 0.000 0.000 0.500
Ga2 Ga 0.000 0.500 0.000
Ga3 Ga 0.500 0.000 0.000
Mo1 Mo 0.500 0.500 0.500
Pt1 Pt 0.000 0.000 0.000
```

=====

# 3
Here is a relaxed structure of GaSbMo2Pt from Alexandria via LeMat-Bulk. Energies are from PBE-GGA.

Properties
- Raw formation energy: 1.04 eV per atom

```
data_GaSbMo2Pt
_space_group_name_H-M_alt 'P 1'
_space_group_IT_number 1
_cell_length_a 4.973
_cell_length_b 4.973
_cell_length_c 4.625
_cell_angle_alpha 90.00
_cell_angle_beta 90.00
_cell_angle_gamma 90.00
loop_
_space_group_symop_operation_xyz
'x,y,z'
loop_
_atom_site_label
_atom_site_type_symbol
_atom_site_fract_x
_atom_site_fract_y
_atom_site_fract_z
Ga1 Ga 0.000 0.000 0.000
Sb1 Sb 0.500 0.500 0.000
Mo1 Mo 0.000 0.500 0.500
Mo2 Mo 0.500 0.000 0.500
Pt1 Pt 0.000 0.000 0.500
```

=====

# 4
Here is a relaxed structure of GaMoPt2Se from Alexandria via LeMat-Bulk. Energies are from PBE-GGA.

Properties
- Raw formation energy: 1.04 eV per atom

```
data_GaMoPt2Se
_space_group_name_H-M_alt 'P 1'
_space_group_IT_number 1
_cell_length_a 4.717
_cell_length_b 4.717
_cell_length_c 4.862
_cell_angle_alpha 90.00
_cell_angle_beta 90.00
_cell_angle_gamma 90.00
loop_
_space_group_symop_operation_xyz
'x,y,z'
loop_
_atom_site_label
_atom_site_type_symbol
_atom_site_fract_x
_atom_site_fract_y
_atom_site_fract_z
Ga1 Ga 0.000 0.000 0.000
Mo1 Mo 0.500 0.500 0.000
Pt1 Pt 0.000 0.500 0.500
Pt2 Pt 0.500 0.000 0.500
Se1 Se 0.000 0.000 0.500
```

=====

# 5
Here is a relaxed structure of Ga2SnMoPt from Alexandria via LeMat-Bulk. Energies are from PBE-GGA.

Properties
- Calculated formation energy: 7.22 eV/f.u.

```
data_Ga2SnMoPt
_space_group_name_H-M_alt 'P 1'
_space_group_IT_number 1
_cell_length_a 5.000
_cell_length_b 5.000
_cell_length_c 5.270
_cell_angle_alpha 90.00
_cell_angle_beta 90.00
_cell_angle_gamma 90.00
loop_
_space_group_symop_operation_xyz
'x,y,z'
loop_
_atom_site_label
_atom_site_type_symbol
_atom_site_fract_x
_atom_site_fract_y
_atom_site_fract_z
Ga1 Ga 0.000 0.500 0.000
Ga2 Ga 0.500 0.000 0.000
Sn1 Sn 0.000 0.000 0.000
Mo1 Mo 0.000 0.000 0.500
Pt1 Pt 0.500 0.500 0.500
```

=====

# 6
Here is a relaxed structure of VGaMoPt from Alexandria via LeMat-Bulk. Energies are from PBE-GGA.

Properties
- Calculated formation energy: -1.16 eV/f.u.

```
data_VGaMoPt
_space_group_name_H-M_alt 'P 1'
_space_group_IT_number 1
_cell_length_a 6.173
_cell_length_b 6.173
_cell_length_c 6.173
_cell_angle_alpha 90.00
_cell_angle_beta 90.00
_cell_angle_gamma 90.00
loop_
_space_group_symop_operation_xyz
'x,y,z'
loop_
_atom_site_label
_atom_site_type_symbol
_atom_site_fract_x
_atom_site_fract_y
_atom_site_fract_z
V1 V 0.000 0.000 0.000
V2 V 0.000 0.500 0.500
V3 V 0.500 0.000 0.500
V4 V 0.500 0.500 0.000
Ga1 Ga 0.000 0.000 0.500
Ga2 Ga 0.000 0.500 0.000
Ga3 Ga 0.500 0.000 0.000
Ga4 Ga 0.500 0.500 0.500
Mo1 Mo 0.250 0.250 0.750
Mo2 Mo 0.250 0.750 0.250
Mo3 Mo 0.750 0.250 0.250
Mo4 Mo 0.750 0.750 0.750
Pt1 Pt 0.250 0.250 0.250
Pt2 Pt 0.250 0.750 0.750
Pt3 Pt 0.750 0.250 0.750
Pt4 Pt 0.750 0.750 0.250
```

=====

# 7
Here is a relaxed structure of ZrGaMoPt2 from Alexandria via LeMat-Bulk. Energies are from PBE-GGA.

Properties
- Calculated formation energy: 6.59 eV/f.u.

```
data_ZrGaMoPt2
_space_group_name_H-M_alt 'P 1'
_space_group_IT_number 1
_cell_length_a 4.882
_cell_length_b 4.882
_cell_length_c 4.980
_cell_angle_alpha 90.00
_cell_angle_beta 90.00
_cell_angle_gamma 90.00
loop_
_space_group_symop_operation_xyz
'x,y,z'
loop_
_atom_site_label
_atom_site_type_symbol
_atom_site_fract_x
_atom_site_fract_y
_atom_site_fract_z
Zr1 Zr 0.000 0.000 0.000
Ga1 Ga 0.000 0.000 0.500
Mo1 Mo 0.500 0.500 0.500
Pt1 Pt 0.000 0.500 0.000
Pt2 Pt 0.500 0.000 0.000
```

=====

# 8
Here is a relaxed structure of PuGa2Mo from Alexandria via LeMat-Bulk. Energies are from PBE-GGA.

Properties
- Calculated formation energy: 0.78 eV/f.u.

```
data_PuGa2Mo
_space_group_name_H-M_alt 'P 1'
_space_group_IT_number 1
_cell_length_a 2.883
_cell_length_b 2.883
_cell_length_c 31.293
_cell_angle_alpha 90.00
_cell_angle_beta 90.00
_cell_angle_gamma 120.00
loop_
_space_group_symop_operation_xyz
'x,y,z'
loop_
_atom_site_label
_atom_site_type_symbol
_atom_site_fract_x
_atom_site_fract_y
_atom_site_fract_z
Pu1 Pu 0.000 0.000 0.000
Pu2 Pu 0.333 0.667 0.667
Pu3 Pu 0.667 0.333 0.333
Ga1 Ga 0.000 0.000 0.096
Ga2 Ga 0.000 0.000 0.904
Ga3 Ga 0.333 0.667 0.571
Ga4 Ga 0.333 0.667 0.762
Ga5 Ga 0.667 0.333 0.238
Ga6 Ga 0.667 0.333 0.429
Mo1 Mo 0.000 0.000 0.500
Mo2 Mo 0.333 0.667 0.167
Mo3 Mo 0.667 0.333 0.833
```

=====

# 9
Here is a relaxed structure of Pu2Ga3Mo from Alexandria via LeMat-Bulk. Energies are from PBE-GGA.

Properties
- Calculated formation energy: -1.55 eV/f.u.

```
data_Pu2Ga3Mo
_space_group_name_H-M_alt 'P 1'
_space_group_IT_number 1
_cell_length_a 5.462
_cell_length_b 5.462
_cell_length_c 5.462
_cell_angle_alpha 60.26
_cell_angle_beta 60.26
_cell_angle_gamma 60.26
loop_
_space_group_symop_operation_xyz
'x,y,z'
loop_
_atom_site_label
_atom_site_type_symbol
_atom_site_fract_x
_atom_site_fract_y
_atom_site_fract_z
Pu1 Pu 0.128 0.128 0.128
Pu2 Pu 0.872 0.872 0.872
Ga1 Ga 0.000 0.500 0.500
Ga2 Ga 0.500 0.000 0.500
Ga3 Ga 0.500 0.500 0.000
Mo1 Mo 0.500 0.500 0.500
```

=====

# 10
Here is a relaxed structure of Pu2Ga6Mo from Alexandria via LeMat-Bulk. Energies are from PBE-GGA.

Properties
- Calculated formation energy: -2.44 eV/f.u.

```
data_Pu2Ga6Mo
_space_group_name_H-M_alt 'P 1'
_space_group_IT_number 1
_cell_length_a 5.936
_cell_length_b 5.936
_cell_length_c 5.674
_cell_angle_alpha 90.00
_cell_angle_beta 90.00
_cell_angle_gamma 120.00
loop_
_space_group_symop_operation_xyz
'x,y,z'
loop_
_atom_site_label
_atom_site_type_symbol
_atom_site_fract_x
_atom_site_fract_y
_atom_site_fract_z
Pu1 Pu 0.333 0.667 0.175
Pu2 Pu 0.667 0.333 0.825
Ga1 Ga 0.178 0.356 0.680
Ga2 Ga 0.178 0.822 0.680
Ga3 Ga 0.356 0.178 0.320
Ga4 Ga 0.644 0.822 0.680
Ga5 Ga 0.822 0.178 0.320
Ga6 Ga 0.822 0.644 0.320
Mo1 Mo 0.000 0.000 0.000
```

=====

# 11
Here is a relaxed structure of PuGaMoRu from Alexandria via LeMat-Bulk. Energies are from PBE-GGA.

Properties
- Calculated formation energy: -0.37 eV/f.u.

```
data_PuGaMoRu
_space_group_name_H-M_alt 'P 1'
_space_group_IT_number 1
_cell_length_a 6.447
_cell_length_b 6.447
_cell_length_c 6.447
_cell_angle_alpha 90.00
_cell_angle_beta 90.00
_cell_angle_gamma 90.00
loop_
_space_group_symop_operation_xyz
'x,y,z'
loop_
_atom_site_label
_atom_site_type_symbol
_atom_site_fract_x
_atom_site_fract_y
_atom_site_fract_z
Pu1 Pu 0.000 0.000 0.000
Pu2 Pu 0.000 0.500 0.500
Pu3 Pu 0.500 0.000 0.500
Pu4 Pu 0.500 0.500 0.000
Ga1 Ga 0.000 0.000 0.500
Ga2 Ga 0.000 0.500 0.000
Ga3 Ga 0.500 0.000 0.000
Ga4 Ga 0.500 0.500 0.500
Mo1 Mo 0.250 0.250 0.250
Mo2 Mo 0.250 0.750 0.750
Mo3 Mo 0.750 0.250 0.750
Mo4 Mo 0.750 0.750 0.250
Ru1 Ru 0.250 0.250 0.750
Ru2 Ru 0.250 0.750 0.250
Ru3 Ru 0.750 0.250 0.250
Ru4 Ru 0.750 0.750 0.750
```

=====

# 12
Here is a relaxed structure of PuGaTcMo from Alexandria via LeMat-Bulk. Energies are from PBE-GGA.

Properties
- Calculated formation energy: 0.05 eV/f.u.

```
data_PuGaTcMo
_space_group_name_H-M_alt 'P 1'
_space_group_IT_number 1
_cell_length_a 6.442
_cell_length_b 6.442
_cell_length_c 6.442
_cell_angle_alpha 90.00
_cell_angle_beta 90.00
_cell_angle_gamma 90.00
loop_
_space_group_symop_operation_xyz
'x,y,z'
loop_
_atom_site_label
_atom_site_type_symbol
_atom_site_fract_x
_atom_site_fract_y
_atom_site_fract_z
Pu1 Pu 0.000 0.000 0.000
Pu2 Pu 0.000 0.500 0.500
Pu3 Pu 0.500 0.000 0.500
Pu4 Pu 0.500 0.500 0.000
Ga1 Ga 0.000 0.000 0.500
Ga2 Ga 0.000 0.500 0.000
Ga3 Ga 0.500 0.000 0.000
Ga4 Ga 0.500 0.500 0.500
Tc1 Tc 0.250 0.250 0.750
Tc2 Tc 0.250 0.750 0.250
Tc3 Tc 0.750 0.250 0.250
Tc4 Tc 0.750 0.750 0.750
Mo1 Mo 0.250 0.250 0.250
Mo2 Mo 0.250 0.750 0.750
Mo3 Mo 0.750 0.250 0.750
Mo4 Mo 0.750 0.750 0.250
```

=====

# 13
Here is a relaxed structure of RbGa2Mo from Alexandria via LeMat-Bulk. Energies are from PBE-GGA.

Properties
- Calculated formation energy: 2.69 eV/f.u.
- ΔE to the lowest computed polymorph: 0.0 meV per atom

```
data_RbGa2Mo
_space_group_name_H-M_alt 'P 1'
_space_group_IT_number 1
_cell_length_a 5.665
_cell_length_b 5.665
_cell_length_c 17.040
_cell_angle_alpha 90.00
_cell_angle_beta 90.00
_cell_angle_gamma 90.00
loop_
_space_group_symop_operation_xyz
'x,y,z'
loop_
_atom_site_label
_atom_site_type_symbol
_atom_site_fract_x
_atom_site_fract_y
_atom_site_fract_z
Rb1 Rb 0.000 0.250 0.375
Rb2 Rb 0.000 0.750 0.625
Rb3 Rb 0.500 0.250 0.125
Rb4 Rb 0.500 0.750 0.875
Ga1 Ga 0.000 0.000 0.000
Ga2 Ga 0.000 0.500 0.000
Ga3 Ga 0.250 0.250 0.750
Ga4 Ga 0.250 0.750 0.250
Ga5 Ga 0.500 0.000 0.500
Ga6 Ga 0.500 0.500 0.500
Ga7 Ga 0.750 0.250 0.750
Ga8 Ga 0.750 0.750 0.250
Mo1 Mo 0.000 0.250 0.875
Mo2 Mo 0.000 0.750 0.125
Mo3 Mo 0.500 0.250 0.625
Mo4 Mo 0.500 0.750 0.375
```

=====

# 14
Here is a relaxed structure of Rb2GaMo from Alexandria via LeMat-Bulk. Energies are from PBE-GGA.

Properties
- Calculated formation energy: 3.92 eV/f.u.

```
data_Rb2GaMo
_space_group_name_H-M_alt 'P 1'
_space_group_IT_number 1
_cell_length_a 13.826
_cell_length_b 13.826
_cell_length_c 5.080
_cell_angle_alpha 90.00
_cell_angle_beta 90.00
_cell_angle_gamma 90.00
loop_
_space_group_symop_operation_xyz
'x,y,z'
loop_
_atom_site_label
_atom_site_type_symbol
_atom_site_fract_x
_atom_site_fract_y
_atom_site_fract_z
Rb1 Rb 0.009 0.750 0.125
Rb2 Rb 0.250 0.009 0.875
Rb3 Rb 0.250 0.491 0.375
Rb4 Rb 0.491 0.750 0.625
Rb5 Rb 0.509 0.250 0.625
Rb6 Rb 0.750 0.509 0.375
Rb7 Rb 0.750 0.991 0.875
Rb8 Rb 0.991 0.250 0.125
Ga1 Ga 0.000 0.000 0.500
Ga2 Ga 0.000 0.500 0.750
Ga3 Ga 0.500 0.000 0.250
Ga4 Ga 0.500 0.500 0.000
Mo1 Mo 0.000 0.000 0.000
Mo2 Mo 0.000 0.500 0.250
Mo3 Mo 0.500 0.000 0.750
Mo4 Mo 0.500 0.500 0.500
```

=====

Number 1: volume 60.6 Å³/cell. Number 2: volume 110.2 Å³/cell. Number 3: volume 114.4 Å³/cell. Number 4: volume 108.2 Å³/cell. Number 5: volume 131.7 Å³/cell. Number 6: volume 235.2 Å³/cell. Number 7: volume 118.7 Å³/cell. Number 8: volume 225.2 Å³/cell. Number 9: volume 115.9 Å³/cell. Number 10: volume 173.2 Å³/cell. Number 11: volume 268.0 Å³/cell. Number 12: volume 267.3 Å³/cell. Number 13: volume 546.9 Å³/cell. Number 14: volume 971.1 Å³/cell.